VASP calculation (SCAN) on AuSN2F at its PBEsol-relaxed geometry.

a b c (Å): 3.966 3.966 5.113
angles (deg): 90.00 90.00 90.00
Positions (direct):
Au: 0.000 0.000 0.000
S: 0.000 0.000 0.500
N: 0.000 0.500 0.000
N: 0.500 0.000 0.000
F: 0.500 0.500 0.500

ΔE_f (raw) (eV per atom): 1.59
Relative energy among the computed polymorphs (eV per atom): 0.000
Space group: P4/mmm (123)